[1]
First-principles (PBE) data for a geometry-optimized CsAuI3 structure, as listed in Alexandria via LeMat-Bulk.

For the formation energy (no corrections), the calculation gives -2.705 eV/f.u. The calculation puts the raw total energy at -2.297 eV per atom. As for the density of states at the Fermi level: 0.330 states/eV/atom.

POSCAR file:
```
CsAuI3
1.0
-4.063 -0.447 1.703
-0.348 -7.648 -2.839
2.664 2.959 7.129
Cs I Au
1 3 1
direct
0.500 0.469 0.531 Cs
0.500 0.458 0.023 I
0.500 0.977 0.542 I
0.000 0.958 0.042 I
0.000 0.767 0.233 Au
```

[2]
First-principles (PBE) data for a geometry-optimized Cs2Au2I structure, as listed in Alexandria via LeMat-Bulk.

For the formation energy (no corrections), the calculation gives -2.314 eV/f.u. The calculation puts the raw total energy at -2.425 eV per atom. For the distance to the lowest polymorph of the same formula, the calculation gives 0.064 eV/atom. As for the density of states at the Fermi level: 0.679 states/eV/atom.

POSCAR file:
```
Cs2Au2I
1.0
-3.637 8.195 1.489
-7.712 -3.927 2.776
1.719 -0.083 4.657
Au I Cs
4 2 4
direct
0.395 0.895 0.000 Au
0.895 0.605 0.000 Au
0.605 0.105 0.000 Au
0.105 0.395 0.000 Au
0.500 0.500 0.000 I
0.000 0.000 0.000 I
0.310 0.190 0.500 Cs
0.810 0.310 0.500 Cs
0.690 0.810 0.500 Cs
0.190 0.690 0.500 Cs
```

[3]
First-principles (PBE) data for a geometry-optimized CsAuI3 structure, as listed in Alexandria via LeMat-Bulk.

For the formation energy (no corrections), the calculation gives -3.130 eV/f.u. The calculation puts the raw total energy at -2.382 eV per atom. As for the density of states at the Fermi level: 0.202 states/eV/atom.

POSCAR file:
```
CsAuI3
1.0
10.818 0.000 1.449
0.000 7.234 0.000
-4.528 0.000 6.079
I Au Cs
6 2 2
direct
0.352 0.517 0.658 I
0.648 0.483 0.342 I
0.648 0.017 0.342 I
0.884 0.750 0.022 I
0.352 0.983 0.658 I
0.116 0.250 0.978 I
0.247 0.250 0.374 Au
0.753 0.750 0.626 Au
0.726 0.250 0.890 Cs
0.274 0.750 0.110 Cs
```

[4]
First-principles (PBE) data for a geometry-optimized Cs2AuI6 structure, as listed in Alexandria via LeMat-Bulk.

For the formation energy (no corrections), the calculation gives -6.168 eV/f.u. The calculation puts the raw total energy at -2.273 eV per atom. As for the density of states at the Fermi level: 0.423 states/eV/atom.

POSCAR file:
```
Cs2AuI6
1.0
-7.500 3.319 -1.740
-3.807 -4.806 7.243
4.077 7.770 7.299
I Au Cs
12 2 4
direct
0.228 0.211 0.983 I
0.738 0.332 0.956 I
0.262 0.668 0.044 I
0.538 0.396 0.238 I
0.772 0.789 0.017 I
0.462 0.604 0.762 I
0.238 0.168 0.456 I
0.038 0.104 0.738 I
0.762 0.832 0.544 I
0.728 0.289 0.483 I
0.272 0.711 0.517 I
0.962 0.896 0.262 I
0.500 0.500 0.000 Au
0.000 0.000 0.500 Au
0.487 0.966 0.248 Cs
0.513 0.034 0.752 Cs
0.987 0.534 0.748 Cs
0.013 0.466 0.252 Cs
```

[5]
First-principles (PBE) data for a geometry-optimized Cs3AuI structure, as listed in Alexandria via LeMat-Bulk.

For the formation energy (no corrections), the calculation gives -3.428 eV/f.u. The calculation puts the raw total energy at -2.163 eV per atom. For the distance to the lowest polymorph of the same formula, the calculation gives 0.000 eV/atom. As for the density of states at the Fermi level: 0.555 states/eV/atom.

POSCAR file:
```
Cs3AuI
1.0
5.387 0.000 0.000
0.000 9.587 -0.163
0.000 -3.117 14.084
I Cs Au
2 6 2
direct
0.750 0.731 0.452 I
0.250 0.269 0.548 I
0.750 0.068 0.665 Cs
0.250 0.932 0.335 Cs
0.250 0.447 0.330 Cs
0.250 0.769 0.981 Cs
0.750 0.553 0.670 Cs
0.750 0.231 0.019 Cs
0.750 0.880 0.846 Au
0.250 0.120 0.154 Au
```

[6]
First-principles (PBE) data for a geometry-optimized Cs8Au5I structure, as listed in Alexandria via LeMat-Bulk.

For the formation energy (no corrections), the calculation gives -6.305 eV/f.u. The calculation puts the raw total energy at -2.219 eV per atom. As for the density of states at the Fermi level: 0.773 states/eV/atom.

POSCAR file:
```
Cs8Au5I
1.0
-6.760 0.626 6.848
0.238 -8.943 -3.599
8.596 2.106 3.829
Au I Cs
5 1 8
direct
0.500 0.500 0.000 Au
0.369 0.991 0.120 Au
0.871 0.249 0.880 Au
0.751 0.631 0.622 Au
0.009 0.129 0.378 Au
0.250 0.750 0.500 I
0.489 0.243 0.611 Cs
0.975 0.732 0.099 Cs
0.123 0.511 0.754 Cs
0.268 0.367 0.243 Cs
0.124 0.025 0.757 Cs
0.633 0.876 0.901 Cs
0.757 0.369 0.246 Cs
0.631 0.877 0.389 Cs
```

[7]
First-principles (PBE) data for a geometry-optimized CsAu3I structure, as listed in Alexandria via LeMat-Bulk.

For the formation energy (no corrections), the calculation gives 1.025 eV/f.u. The calculation puts the raw total energy at -2.242 eV per atom. For the distance to the lowest polymorph of the same formula, the calculation gives 0.000 eV/atom. As for the density of states at the Fermi level: 0.211 states/eV/atom.

POSCAR file:
```
CsAu3I
1.0
-4.660 3.213 0.043
-3.155 -4.590 1.006
0.605 0.804 5.570
Cs Au I
1 3 1
direct
0.500 0.500 0.500 Cs
0.000 0.000 0.500 Au
0.500 0.000 0.000 Au
0.000 0.500 0.000 Au
0.000 0.000 0.000 I
```

[8]
First-principles (PBE) data for a geometry-optimized Cs3Au5I12 structure, as listed in Alexandria via LeMat-Bulk.

For the formation energy (no corrections), the calculation gives -8.551 eV/f.u. The calculation puts the raw total energy at -2.305 eV per atom. As for the density of states at the Fermi level: 0.611 states/eV/atom.

POSCAR file:
```
Cs3Au5I12
1.0
-13.513 -5.122 8.113
6.726 -12.770 -8.145
10.987 6.047 10.834
I Cs Au
48 12 20
direct
0.993 0.394 0.314 I
0.186 0.679 0.080 I
0.894 0.580 0.901 I
0.993 0.599 0.179 I
0.401 0.007 0.321 I
0.493 0.679 0.099 I
0.679 0.493 0.599 I
0.814 0.493 0.394 I
0.507 0.186 0.106 I
0.186 0.507 0.606 I
0.599 0.606 0.420 I
0.106 0.420 0.099 I
0.420 0.314 0.321 I
0.686 0.580 0.179 I
0.580 0.686 0.679 I
0.007 0.401 0.821 I
0.321 0.814 0.420 I
0.179 0.080 0.686 I
0.394 0.993 0.814 I
0.420 0.106 0.599 I
0.821 0.901 0.007 I
0.080 0.901 0.394 I
0.686 0.106 0.007 I
0.901 0.080 0.894 I
0.507 0.321 0.901 I
0.080 0.179 0.186 I
0.314 0.420 0.821 I
0.920 0.821 0.814 I
0.179 0.099 0.993 I
0.099 0.920 0.106 I
0.920 0.099 0.606 I
0.606 0.007 0.186 I
0.679 0.186 0.580 I
0.493 0.814 0.894 I
0.894 0.314 0.493 I
0.007 0.606 0.686 I
0.314 0.894 0.993 I
0.821 0.920 0.314 I
0.106 0.686 0.507 I
0.814 0.321 0.920 I
0.580 0.894 0.401 I
0.599 0.993 0.679 I
0.901 0.821 0.507 I
0.401 0.394 0.580 I
0.321 0.507 0.401 I
0.606 0.599 0.920 I
0.099 0.179 0.493 I
0.394 0.401 0.080 I
0.625 0.250 0.375 Cs
0.250 0.625 0.875 Cs
0.125 0.250 0.875 Cs
0.875 0.750 0.125 Cs
0.125 0.875 0.750 Cs
0.625 0.375 0.750 Cs
0.875 0.125 0.250 Cs
0.750 0.875 0.625 Cs
0.375 0.750 0.625 Cs
0.250 0.125 0.375 Cs
0.375 0.625 0.250 Cs
0.750 0.375 0.125 Cs
0.500 0.000 0.000 Au
0.875 0.625 0.750 Au
0.000 0.000 0.000 Au
0.750 0.625 0.375 Au
0.375 0.125 0.750 Au
0.500 0.500 0.500 Au
0.625 0.875 0.250 Au
0.000 0.500 0.500 Au
0.625 0.750 0.875 Au
0.000 0.000 0.500 Au
0.250 0.875 0.125 Au
0.125 0.375 0.250 Au
0.250 0.375 0.625 Au
0.500 0.000 0.500 Au
0.875 0.250 0.625 Au
0.000 0.500 0.000 Au
0.375 0.250 0.125 Au
0.750 0.125 0.875 Au
0.125 0.750 0.375 Au
0.500 0.500 0.000 Au
```

[9]
First-principles (PBE) data for a geometry-optimized Cs3Au2I6 structure, as listed in Alexandria via LeMat-Bulk.

For the formation energy (no corrections), the calculation gives -9.433 eV/f.u. The calculation puts the raw total energy at -2.532 eV per atom. As for the density of states at the Fermi level: 0.447 states/eV/atom.

POSCAR file:
```
Cs3Au2I6
1.0
5.671 0.000 0.000
0.000 5.671 0.000
-2.836 -2.836 15.922
Cs I Au
3 6 2
direct
0.820 0.820 0.640 Cs
0.000 0.000 0.000 Cs
0.180 0.180 0.360 Cs
0.086 0.586 0.172 I
0.414 0.914 0.828 I
0.696 0.696 0.392 I
0.586 0.086 0.172 I
0.304 0.304 0.608 I
0.914 0.414 0.828 I
0.397 0.397 0.795 Au
0.603 0.603 0.205 Au
```